{"formula": "DyGaGe2", "functional": "PBE-GGA", "state": "optimized geometry", "e_above_lowest_polymorph_ev_per_atom": 0.181, "delta_e_f_ev_per_atom": -0.28, "lattice": [[2.249, 1.298, 4.809], [-2.249, 1.298, 4.809], [0.000, -2.597, 4.809]], "species": ["Dy", "Ga", "Ge", "Ge"], "frac_coords": [[0.000, 0.000, 0.000], [0.500, 0.500, 0.500], [0.218, 0.218, 0.218], [0.782, 0.782, 0.782]]}



{"formula": "SrMg4Co", "functional": "PBE-GGA", "state": "optimized geometry", "delta_e_f_ev_per_atom": 0.33, "lattice": [[0.000, 4.169, 4.169], [4.169, 0.000, 4.169], [4.169, 4.169, 0.000]], "species": ["Sr", "Mg", "Mg", "Mg", "Mg", "Co"], "frac_coords": [[0.000, 0.000, 0.000], [0.377, 0.377, 0.377], [0.377, 0.377, 0.870], [0.377, 0.870, 0.377], [0.870, 0.377, 0.377], [0.750, 0.750, 0.750]]}



{"formula": "PrSbAs2", "functional": "PBE-GGA", "state": "optimized geometry", "formation_energy_uncorrected_ev_per_atom": -0.55, "lattice": [[4.922, 0.000, 0.000], [0.000, 4.922, 0.000], [0.000, 0.000, 3.983]], "species": ["Pr", "Sb", "As", "As"], "frac_coords": [[0.000, 0.000, 0.000], [0.500, 0.500, 0.000], [0.000, 0.500, 0.500], [0.500, 0.000, 0.500]]}



{"formula": "LiPr2Ag2Pd5", "functional": "PBE-GGA", "state": "optimized geometry", "delta_e_f_ev_per_atom": -0.42, "lattice": [[9.837, 0.000, 0.000], [0.000, 9.837, 0.000], [0.000, 0.000, 4.070]], "species": ["Li", "Li", "Pr", "Pr", "Pr", "Pr", "Ag", "Ag", "Ag", "Ag", "Pd", "Pd", "Pd", "Pd", "Pd", "Pd", "Pd", "Pd", "Pd", "Pd"], "frac_coords": [[0.000, 0.000, 0.000], [0.500, 0.500, 0.000], [0.175, 0.325, 0.000], [0.325, 0.825, 0.000], [0.675, 0.175, 0.000], [0.825, 0.675, 0.000], [0.124, 0.624, 0.000], [0.376, 0.124, 0.000], [0.624, 0.876, 0.000], [0.876, 0.376, 0.000], [0.000, 0.500, 0.500], [0.056, 0.804, 0.500], [0.196, 0.056, 0.500], [0.304, 0.556, 0.500], [0.444, 0.304, 0.500], [0.500, 0.000, 0.500], [0.556, 0.696, 0.500], [0.696, 0.444, 0.500], [0.804, 0.944, 0.500], [0.944, 0.196, 0.500]]}



{"formula": "Ta2CdNi", "functional": "PBE-GGA", "state": "optimized geometry", "delta_e_f_ev_per_atom": 0.21, "lattice": [[3.996, 0.000, 0.000], [0.000, 3.996, 0.000], [0.000, 0.000, 4.189]], "species": ["Ta", "Ta", "Cd", "Ni"], "frac_coords": [[0.000, 0.500, 0.000], [0.500, 0.000, 0.000], [0.000, 0.000, 0.500], [0.500, 0.500, 0.500]]}



{"formula": "AcTmAl", "functional": "PBE-GGA", "state": "optimized geometry", "e_above_lowest_polymorph_ev_per_atom": 0.076, "delta_e_f_ev_per_atom": -0.07, "lattice": [[5.259, 0.000, 0.000], [-2.629, 4.554, 0.000], [0.000, 0.000, 3.932]], "species": ["Ac", "Tm", "Al"], "frac_coords": [[0.000, 0.000, 0.000], [0.667, 0.333, 0.504], [0.333, 0.667, 0.491]]}



{"formula": "Bi3MoSe", "functional": "PBE-GGA", "state": "optimized geometry", "e_above_lowest_polymorph_ev_per_atom": 0.000, "formation_energy_uncorrected_ev_per_atom": 0.45, "lattice": [[5.331, 0.000, 0.000], [0.000, 5.331, 0.000], [0.000, 0.000, 5.331]], "species": ["Bi", "Bi", "Bi", "Mo", "Se"], "frac_coords": [[0.000, 0.000, 0.500], [0.000, 0.500, 0.000], [0.500, 0.000, 0.000], [0.000, 0.000, 0.000], [0.500, 0.500, 0.500]]}



{"formula": "LuZr2Ga", "functional": "PBE-GGA", "state": "optimized geometry", "e_above_lowest_polymorph_ev_per_atom": 0.058, "delta_e_f_ev_per_atom": -0.20, "lattice": [[3.212, 0.000, 0.000], [0.000, 3.212, 0.000], [0.000, 0.000, 8.709]], "species": ["Lu", "Zr", "Zr", "Ga"], "frac_coords": [[0.000, 0.000, 0.000], [0.500, 0.500, 0.283], [0.500, 0.500, 0.717], [0.000, 0.000, 0.500]]}



no.,final energy (eV for the cell shown),DOS(E_F) (states/eV per cell)
1,-18.0,1.893
2,-13.2,8.402
3,-20.4,1.814
4,-94.6,5.694
5,-29.6,3.979
6,-12.5,2.175
7,-23.7,2.644
8,-25.4,5.385